Entry 1:
Density functional theory data (PBE) for a geometry-optimized SrHoTh structure.

SG: No. 216
DFT total energy: -3.609 eV per atom
E above lowest polymorph: 0.00 kcal/mol of atoms
spin magnetization: 0.005 μB per atom

Lattice parameters (Å, degrees): 5.661 5.661 5.661 60.00 60.00 60.00
Atoms (fractional coordinates):
Sr1 0.250 0.250 0.250
Th1 0.750 0.750 0.750
Ho1 0.000 0.000 0.000

Entry 2:
Density functional theory data (PBE) for a geometry-optimized SrHo4U2 structure.

SG: No. 111
DFT total energy: -5.531 eV per atom
spin magnetization: 0.864 μB per atom

Lattice parameters (Å, degrees): 8.138 8.138 3.297 90.00 90.00 90.00
Atoms (fractional coordinates):
Ho1 0.704 0.704 0.517
U1 0.500 0.000 0.000
Ho2 0.296 0.296 0.517
Sr1 0.000 0.000 0.000
Ho3 0.704 0.296 0.483
Ho4 0.296 0.704 0.483
U2 0.000 0.500 0.000

Entry 3:
Density functional theory data (PBE) for a geometry-optimized SrHoW structure.

SG: No. 216
DFT total energy: -5.068 eV per atom
E above lowest polymorph: 0.00 kcal/mol of atoms
spin magnetization: 0.841 μB per atom

Lattice parameters (Å, degrees): 5.149 5.149 5.149 60.00 60.00 60.00
Atoms (fractional coordinates):
W1 0.000 0.000 0.000
Ho1 0.250 0.250 0.250
Sr1 0.750 0.750 0.750

Entry 4:
Density functional theory data (PBE) for a geometry-optimized SrYHo structure.

SG: No. 216
DFT total energy: -3.424 eV per atom
E above lowest polymorph: 0.00 kcal/mol of atoms
spin magnetization: 0.003 μB per atom

Lattice parameters (Å, degrees): 5.738 5.738 5.738 60.00 60.00 60.00
Atoms (fractional coordinates):
Y1 0.750 0.750 0.750
Ho1 0.000 0.000 0.000
Sr1 0.250 0.250 0.250

Entry 5:
Density functional theory data (PBE) for a geometry-optimized SrHoZr structure.

SG: No. 216
DFT total energy: -3.892 eV per atom
spin magnetization: 0.925 μB per atom

Lattice parameters (Å, degrees): 5.506 5.506 5.506 60.00 60.00 60.00
Atoms (fractional coordinates):
Sr1 0.750 0.750 0.750
Zr1 0.000 0.000 0.000
Ho1 0.250 0.250 0.250

Entry 6:
Density functional theory data (PBE) for a geometry-optimized HoTaW structure.

SG: No. 216
DFT total energy: -9.032 eV per atom
energy of formation from the pure elements: 0.765 eV/atom
spin magnetization: 0.000 μB per atom

Lattice parameters (Å, degrees): 4.595 4.595 4.595 60.00 60.00 60.00
Atoms (fractional coordinates):
W1 0.000 0.000 0.000
Ho1 0.250 0.250 0.250
Ta1 0.750 0.750 0.750

Entry 7:
Density functional theory data (PBE) for a geometry-optimized HoTaZn structure.

SG: No. 216
DFT total energy: -4.586 eV per atom
energy of formation from the pure elements: 1.312 eV/atom
E above lowest polymorph: 17.15 kcal/mol of atoms
spin magnetization: 0.755 μB per atom

Lattice parameters (Å, degrees): 4.745 4.745 4.745 60.00 60.00 60.00
Atoms (fractional coordinates):
Ta1 0.750 0.750 0.750
Zn1 0.250 0.250 0.250
Ho1 0.000 0.000 0.000

Entry 8:
Density functional theory data (PBE) for a geometry-optimized HoTaZn structure.

SG: No. 216
DFT total energy: -5.330 eV per atom
energy of formation from the pure elements: 0.568 eV/atom
E above lowest polymorph: 0.00 kcal/mol of atoms
spin magnetization: 0.010 μB per atom

Lattice parameters (Å, degrees): 4.561 4.561 4.561 60.00 60.00 60.00
Atoms (fractional coordinates):
Ho1 0.250 0.250 0.250
Zn1 0.000 0.000 0.000
Ta1 0.750 0.750 0.750